[1]
Here is an optimized crystal structure of PrEuEr2 from Alexandria. Energies are from PBE-GGA.

Calculated values
Fermi-level density of states: 7.2 states/eV per cell
E above lowest polymorph: 0.278 eV/f.u.
Formation enthalpy at 0 K: 0.56 eV per formula unit
Symmetry: P4/mmm, No. 123

Lattice parameters (Å, degrees): 3.936 5.884 5.884 90.00 90.00 90.00
Each line ends with the local moment (μB).
Fractional positions:
Er (0.000, 0.000, 0.500)  0.03
Er (0.000, 0.500, 0.000)  0.03
Eu (0.500, 0.500, 0.500)  6.87
Pr (0.500, 0.000, 0.000)  -0.08

=====

[2]
Here is an optimized crystal structure of Ce8HgAu2 from Alexandria. Energies are from PBE-GGA.

Calculated values
Fermi-level density of states: 30.9 states/eV per cell
E above lowest polymorph: 0.616 eV/f.u.
Formation enthalpy at 0 K: -2.00 eV per formula unit
Symmetry: Immm, No. 71

Lattice parameters (Å, degrees): 5.491 9.641 7.800 128.15 110.61 90.00
Each line ends with the local moment (μB).
Fractional positions:
Ce (0.833, 0.833, 0.666)  0.28
Ce (0.662, 0.449, 0.325)  0.39
Ce (0.000, 0.701, 0.000)  0.47
Ce (0.338, 0.551, 0.675)  0.39
Ce (0.338, 0.124, 0.675)  0.39
Ce (0.167, 0.167, 0.334)  0.28
Ce (0.662, 0.876, 0.325)  0.39
Ce (0.000, 0.299, 0.000)  0.47
Au (0.796, 0.296, 0.592)  0.00
Au (0.204, 0.704, 0.408)  0.00
Hg (0.500, 0.000, 0.000)  0.00

=====

[3]
Here is an optimized crystal structure of Ba4OsBr from Alexandria. Energies are from PBE-GGA.

Calculated values
E_form (uncorrected): 0.86 eV/atom
Fermi-level density of states: 4.4 states/eV per cell
Symmetry: F-43m, No. 216

Lattice parameters (Å, degrees): 6.967 6.967 6.967 60.00 60.00 60.00
Each line ends with the local moment (μB).
Fractional positions:
Ba (0.374, 0.878, 0.374)  -0.12
Ba (0.374, 0.374, 0.878)  -0.12
Ba (0.878, 0.374, 0.374)  -0.12
Ba (0.374, 0.374, 0.374)  -0.12
Os (0.000, 0.000, 0.000)  1.51
Br (0.750, 0.750, 0.750)  0.00

=====

[4]
Here is an optimized crystal structure of Sr5As3ClO12 from Alexandria. Energies are from PBE-GGA.

Calculated values
E_form (uncorrected): -2.33 eV/atom
Fermi-level density of states: 0.0 states/eV per cell
Symmetry: P6_3/m, No. 176

Lattice parameters (Å, degrees): 10.437 10.437 7.312 90.00 90.00 120.00
Fractional positions:
O (0.261, 0.354, 0.938)
O (0.130, 0.530, 0.750)
O (0.907, 0.261, 0.438)
O (0.739, 0.646, 0.062)
O (0.354, 0.093, 0.062)
O (0.600, 0.130, 0.250)
O (0.093, 0.739, 0.938)
O (0.844, 0.506, 0.750)
O (0.470, 0.600, 0.750)
O (0.156, 0.494, 0.250)
O (0.870, 0.470, 0.250)
O (0.400, 0.870, 0.750)
O (0.506, 0.662, 0.250)
O (0.662, 0.156, 0.750)
O (0.739, 0.646, 0.438)
O (0.646, 0.907, 0.562)
O (0.093, 0.739, 0.562)
O (0.338, 0.844, 0.250)
O (0.261, 0.354, 0.562)
O (0.907, 0.261, 0.062)
O (0.646, 0.907, 0.938)
O (0.494, 0.338, 0.750)
O (0.354, 0.093, 0.438)
O (0.530, 0.400, 0.250)
Sr (0.249, 0.992, 0.750)
Sr (0.667, 0.333, 0.503)
Sr (0.333, 0.667, 0.003)
Sr (0.667, 0.333, 0.997)
Sr (0.008, 0.256, 0.750)
Sr (0.751, 0.008, 0.250)
Sr (0.744, 0.751, 0.750)
Sr (0.992, 0.744, 0.250)
Sr (0.333, 0.667, 0.497)
Sr (0.256, 0.249, 0.250)
As (0.032, 0.624, 0.750)
As (0.408, 0.032, 0.250)
As (0.592, 0.968, 0.750)
As (0.968, 0.376, 0.250)
As (0.376, 0.408, 0.750)
As (0.624, 0.592, 0.250)
Cl (0.000, 0.000, 0.500)
Cl (0.000, 0.000, 0.000)

=====

[5]
Here is an optimized crystal structure of ZrCr2I from Alexandria. Energies are from PBE-GGA.

Calculated values
E_form (uncorrected): 0.81 eV/atom
Fermi-level density of states: 3.6 states/eV per cell
E above lowest polymorph: 0.000 eV/f.u.
Symmetry: Fm-3m, No. 225

Lattice parameters (Å, degrees): 4.527 4.527 4.527 60.00 60.00 60.00
Each line ends with the local moment (μB).
Fractional positions:
Cr (0.750, 0.750, 0.750)  0.79
Cr (0.250, 0.250, 0.250)  0.79
I (0.500, 0.500, 0.500)  -0.04
Zr (0.000, 0.000, 0.000)  -0.20

=====

[6]
Here is an optimized crystal structure of KCd6In6 from Alexandria. Energies are from PBE-GGA.

Calculated values
Fermi-level density of states: 5.6 states/eV per cell
Formation enthalpy at 0 K: -0.29 eV per formula unit
Symmetry: Immm, No. 71

Lattice parameters (Å, degrees): 6.020 8.143 8.143 83.62 68.31 68.31
Fractional positions:
In (0.000, 0.646, 0.354)
In (0.707, 0.793, 0.793)
In (0.000, 0.354, 0.646)
In (0.352, 0.648, 0.648)
In (0.648, 0.352, 0.352)
In (0.293, 0.207, 0.207)
Cd (0.000, 0.000, 0.500)
Cd (0.000, 0.500, 0.000)
Cd (0.500, 0.000, 0.500)
Cd (0.500, 0.500, 0.000)
Cd (0.500, 0.216, 0.784)
Cd (0.500, 0.784, 0.216)
K (0.000, 0.000, 0.000)

=====

[7]
Here is an optimized crystal structure of Ca3La2N4 from Alexandria. Energies are from PBE-GGA.

Calculated values
E_form (uncorrected): -0.97 eV/atom
Fermi-level density of states: 2.6 states/eV per cell
Symmetry: C2/m, No. 12

Lattice parameters (Å, degrees): 3.596 6.245 8.391 75.08 77.63 73.27
Fractional positions:
N (0.196, 0.914, 0.694)
N (0.595, 0.694, 0.117)
N (0.804, 0.086, 0.306)
N (0.405, 0.306, 0.883)
La (0.399, 0.832, 0.369)
La (0.601, 0.168, 0.631)
Ca (0.000, 0.000, 0.000)
Ca (0.784, 0.596, 0.836)
Ca (0.216, 0.404, 0.164)

=====

[8]
Here is an optimized crystal structure of Ac8ZnSn5 from Alexandria. Energies are from PBE-GGA.

Calculated values
Fermi-level density of states: 11.4 states/eV per cell
Formation enthalpy at 0 K: -8.05 eV per formula unit
Symmetry: I-4, No. 82

Lattice parameters (Å, degrees): 8.782 8.782 8.782 109.82 108.78 109.82
Fractional positions:
Ac (0.484, 0.607, 0.240)
Ac (0.633, 0.393, 0.876)
Ac (0.619, 0.885, 0.871)
Ac (0.986, 0.115, 0.734)
Ac (0.760, 0.244, 0.367)
Ac (0.124, 0.756, 0.516)
Ac (0.129, 0.748, 0.014)
Ac (0.266, 0.252, 0.381)
Sn (0.500, 0.000, 0.500)
Sn (0.871, 0.873, 0.247)
Sn (0.374, 0.127, 0.998)
Sn (0.002, 0.375, 0.129)
Sn (0.753, 0.625, 0.626)
Zn (0.250, 0.500, 0.750)

=====

[9]
Here is an optimized crystal structure of Mn2CrMo2 from Alexandria. Energies are from PBE-GGA.

Calculated values
Fermi-level density of states: 13.6 states/eV per cell
Formation enthalpy at 0 K: 1.90 eV per formula unit
Symmetry: P4/mbm, No. 127

Lattice parameters (Å, degrees): 6.774 6.774 2.994 90.00 90.00 90.00
Each line ends with the local moment (μB).
Fractional positions:
Cr (0.000, 0.000, 0.000)  2.24
Cr (0.500, 0.500, 0.000)  2.24
Mo (0.679, 0.821, 0.500)  0.00
Mo (0.179, 0.679, 0.500)  0.00
Mo (0.821, 0.321, 0.500)  0.00
Mo (0.321, 0.179, 0.500)  0.00
Mn (0.127, 0.373, 0.000)  -0.54
Mn (0.627, 0.127, 0.000)  -0.56
Mn (0.873, 0.627, 0.000)  -0.54
Mn (0.373, 0.873, 0.000)  -0.56

=====

[10]
Here is an optimized crystal structure of CaCd from Alexandria. Energies are from PBE-GGA.

Calculated values
Fermi-level density of states: 24.2 states/eV per cell
Formation enthalpy at 0 K: 0.58 eV per formula unit
Symmetry: I-43m, No. 217

Lattice parameters (Å, degrees): 9.435 9.435 9.435 90.00 90.00 90.00
Fractional positions:
Ca (0.702, 0.702, 0.702)
Ca (0.798, 0.202, 0.798)
Ca (0.202, 0.798, 0.798)
Ca (0.298, 0.298, 0.702)
Ca (0.702, 0.298, 0.298)
Ca (0.298, 0.702, 0.298)
Ca (0.798, 0.798, 0.202)
Ca (0.202, 0.202, 0.202)
Cd (0.386, 0.386, 0.386)
Cd (0.114, 0.114, 0.886)
Cd (0.886, 0.886, 0.886)
Cd (0.614, 0.386, 0.614)
Cd (0.114, 0.886, 0.114)
Cd (0.386, 0.614, 0.614)
Cd (0.886, 0.114, 0.114)
Cd (0.614, 0.614, 0.386)

=====

[11]
Here is an optimized crystal structure of KWS2 from Alexandria. Energies are from PBE-GGA.

Calculated values
E_form (uncorrected): 0.25 eV/atom
Fermi-level density of states: 2.5 states/eV per cell
E above lowest polymorph: 2.358 eV/f.u.
Symmetry: R-3m, No. 166

Lattice parameters (Å, degrees): 9.218 9.218 9.218 22.34 22.34 22.34
Fractional positions:
K (0.500, 0.500, 0.500)
S (0.918, 0.918, 0.918)
S (0.082, 0.082, 0.082)
W (0.000, 0.000, 0.000)

=====

[12]
Here is an optimized crystal structure of CoCl from Alexandria. Energies are from PBE-GGA.

Calculated values
E_form (uncorrected): 0.00 eV/atom
Fermi-level density of states: 19.5 states/eV per cell
Symmetry: I-43m, No. 217

Lattice parameters (Å, degrees): 7.168 7.168 7.168 90.00 90.00 90.00
Each line ends with the local moment (μB).
Fractional positions:
Cl (0.304, 0.696, 0.304)  0.10
Cl (0.696, 0.696, 0.696)  0.10
Cl (0.196, 0.804, 0.804)  0.10
Cl (0.196, 0.196, 0.196)  0.10
Cl (0.804, 0.804, 0.196)  0.10
Cl (0.304, 0.304, 0.696)  0.10
Cl (0.696, 0.304, 0.304)  0.10
Cl (0.804, 0.196, 0.804)  0.10
Co (0.119, 0.119, 0.881)  1.88
Co (0.119, 0.881, 0.119)  1.88
Co (0.381, 0.619, 0.619)  1.88
Co (0.619, 0.381, 0.619)  1.88
Co (0.881, 0.119, 0.119)  1.88
Co (0.619, 0.619, 0.381)  1.88
Co (0.881, 0.881, 0.881)  1.88
Co (0.381, 0.381, 0.381)  1.88